AsPt2: optimized geometry, GGA-PBE.

a = 5.243 Å, b = 5.243 Å, c = 5.243 Å
α = 147.12°, β = 141.36°, γ = 51.62°
Sites, in units of the cell vectors:
As: 0.000 0.000 0.000
Pt: 0.345 0.345 0.000
Pt: 0.655 0.655 0.000

Values from the calculation:
Total magnetic moment: 0.00 μB per formula unit
DFT total energy: -5.624 eV/atom
V: 16.20 A^3/atom
Space-group type: No. 71
Energy of formation from the pure elements: -0.0469 eV/atom

---

AsPt2: optimized geometry, GGA-PBE.

a = 3.850 Å, b = 3.850 Å, c = 4.013 Å
α = 90.00°, β = 90.00°, γ = 120.00°
Sites, in units of the cell vectors:
As: 0.000 0.000 0.000
Pt: 0.333 0.667 0.300
Pt: 0.667 0.333 0.700

Values from the calculation:
Total magnetic moment: 0.00 μB per formula unit
DFT total energy: -5.768 eV/atom
V: 17.17 A^3/atom
Space-group type: No. 164
Energy of formation from the pure elements: -0.1906 eV/atom

---

AsPt: optimized geometry, GGA-PBE.

a = 7.150 Å, b = 7.150 Å, c = 7.150 Å
α = 29.28°, β = 29.28°, γ = 29.28°
Sites, in units of the cell vectors:
As: 0.108 0.108 0.108
As: 0.892 0.892 0.892
Pt: 0.380 0.380 0.380
Pt: 0.620 0.620 0.620

Values from the calculation:
Total magnetic moment: 0.00 μB per formula unit
DFT total energy: -5.597 eV/atom
V: 19.35 A^3/atom
Space-group type: No. 166
Energy of formation from the pure elements: -0.2522 eV/atom

---

AsPt2: optimized geometry, GGA-PBE.

a = 4.454 Å, b = 4.454 Å, c = 5.723 Å
α = 90.00°, β = 90.00°, γ = 120.00°
Sites, in units of the cell vectors:
As: 0.333 0.667 0.250
As: 0.667 0.333 0.750
Pt: 0.000 0.000 0.000
Pt: 0.000 0.000 0.500
Pt: 0.333 0.667 0.750
Pt: 0.667 0.333 0.250

Values from the calculation:
Total magnetic moment: 0.00 μB per formula unit
DFT total energy: -5.591 eV/atom
V: 16.39 A^3/atom
Space-group type: No. 194
Energy of formation from the pure elements: -0.0137 eV/atom

---

AsPt3: optimized geometry, GGA-PBE.

a = 4.644 Å, b = 5.819 Å, c = 4.799 Å
α = 90.00°, β = 90.00°, γ = 90.00°
Sites, in units of the cell vectors:
As: 0.250 0.250 0.228
As: 0.750 0.750 0.772
Pt: 0.250 0.501 0.702
Pt: 0.250 0.750 0.204
Pt: 0.250 0.999 0.702
Pt: 0.750 0.001 0.298
Pt: 0.750 0.250 0.796
Pt: 0.750 0.499 0.298

Values from the calculation:
Total magnetic moment: 0.00 μB per formula unit
DFT total energy: -5.691 eV/atom
V: 16.21 A^3/atom
Space-group type: No. 59
Energy of formation from the pure elements: 0.0020 eV/atom

---

AsPt: optimized geometry, GGA-PBE.

a = 9.011 Å, b = 9.011 Å, c = 4.255 Å
α = 90.00°, β = 90.00°, γ = 120.00°
Sites, in units of the cell vectors:
As: 0.069 0.358 0.250
As: 0.289 0.931 0.250
As: 0.358 0.289 0.750
As: 0.642 0.711 0.250
As: 0.711 0.069 0.750
As: 0.931 0.642 0.750
Pt: 0.064 0.629 0.250
Pt: 0.371 0.435 0.250
Pt: 0.435 0.064 0.750
Pt: 0.565 0.936 0.250
Pt: 0.629 0.565 0.750
Pt: 0.936 0.371 0.750

Values from the calculation:
Total magnetic moment: 0.00 μB per formula unit
DFT total energy: -5.523 eV/atom
V: 24.93 A^3/atom
Space-group type: No. 176
Energy of formation from the pure elements: -0.1782 eV/atom

---

AsPt3: optimized geometry, GGA-PBE.

a = 3.608 Å, b = 3.822 Å, c = 5.192 Å
α = 90.00°, β = 109.74°, γ = 90.00°
Sites, in units of the cell vectors:
As: 0.000 0.000 0.000
Pt: 0.177 0.500 0.769
Pt: 0.500 0.000 0.500
Pt: 0.823 0.500 0.231

Values from the calculation:
Total magnetic moment: 0.00 μB per formula unit
DFT total energy: -5.755 eV/atom
V: 16.85 A^3/atom
Space-group type: No. 10
Energy of formation from the pure elements: -0.0621 eV/atom

---

AsPt: optimized geometry, GGA-PBE.

a = 3.976 Å, b = 3.849 Å, c = 5.624 Å
α = 90.00°, β = 110.81°, γ = 90.00°
Sites, in units of the cell vectors:
As: 0.089 0.250 0.180
As: 0.911 0.750 0.820
Pt: 0.276 0.750 0.552
Pt: 0.724 0.250 0.448

Values from the calculation:
Total magnetic moment: 0.00 μB per formula unit
DFT total energy: -5.549 eV/atom
V: 20.11 A^3/atom
Space-group type: No. 11
Energy of formation from the pure elements: -0.2039 eV/atom